Material: InAgO2
Method: DFT, PBE-GGA
State: relaxed

Cell lengths 3.6119, 3.6119, 18.8540 Å; angles 90.00, 90.00, 120.00 degrees
Space group R-3m (No. 166, hexagonal axes)
Inequivalent atoms, fractional coordinates:
1 In 0.0000 0.0000 0.0000 [3 per cell]
2 Ag 0.0000 0.0000 0.5000 [3 per cell]
3 O 0.0000 0.0000 0.1046 [6 per cell]

Computed properties:
formation energy from raw total energies	-232	meV per atom
E_tot	-4.11	eV/atom